Material: Li2CrP2O8
Method: DFT, PBE with a Hubbard U
State: relaxed

```
26
Lattice="2.384 4.455 0.115 -2.384 4.455 0.115 0.000 1.897 15.438" Properties=species:S:1:pos:R:3 pbc="T T T"
Li -1.066 5.437 10.880
Li 0.826 7.239 12.753
Li -0.826 6.290 5.034
Li 1.066 4.488 3.161
Cr -1.389 5.503 7.967
Cr 1.389 4.554 0.248
P -0.912 4.917 14.048
P -1.089 6.053 1.878
P 0.912 3.968 6.329
P 1.089 7.001 9.597
O 0.466 2.516 6.673
O 0.057 1.749 9.392
O -0.343 4.894 6.389
O -1.500 4.875 12.646
O -1.909 5.430 15.126
O -0.057 0.800 1.673
O -0.466 3.464 14.392
O -0.932 4.044 9.272
O 1.500 3.926 4.927
O -0.168 5.537 0.742
O 0.343 5.842 14.108
O 0.168 6.486 8.461
O 0.932 3.095 1.554
O 0.470 6.737 10.962
O -0.470 5.789 3.243
O 1.909 4.482 7.407
```

Values from the calculation:
- Relative energy among the computed polymorphs: 0 meV/atom
- Calculated total energy: -178.7 eV per cell
- DOS at the Fermi energy: 0.4 states/eV/f.u.
- Magnetization: 4.0 μB per cell
- Crystal system: monoclinic